1.
DFT (PBE) results for a relaxed structure of LaV2Pt2.

* Fermi-level density of states: 5.20 states/eV/f.u.
* size of the total moment: 0.00 μB per formula unit
* calculated volume: 19.5 A^3/atom
* formation energy from the elements: -0.321 eV per atom
* energy relative to the lowest polymorph listed for this composition: 156.7 meV per atom

abc: 4.722 4.722 8.747
angles: 90.00 90.00 90.00
Space group I4/mmm (No. 139)
Unique sites:
La  0.000  0.000  0.000
V  0.000  0.000  0.376
Pt  0.000  0.500  0.250

=====

2.
DFT (PBE) results for a relaxed structure of LaVPt.

* Fermi-level density of states: 3.49 states/eV/f.u.
* size of the total moment: 0.00 μB per formula unit
* calculated volume: 21.8 A^3/atom
* formation energy from the elements: -0.325 eV per atom

abc: 9.984 5.113 5.120
angles: 90.00 90.00 90.00
Space group Amm2 (No. 38)
Unique sites:
La  0.180  0.000  0.000
V  0.402  0.000  0.502
Pt  0.000  0.000  0.500
Pt  0.500  0.000  0.002

=====

3.
DFT (PBE) results for a relaxed structure of LaVPt2.

* Fermi-level density of states: 4.04 states/eV/f.u.
* size of the total moment: 1.73 μB per formula unit
* calculated volume: 25.3 A^3/atom
* formation energy from the elements: -0.256 eV per atom
* energy relative to the lowest polymorph listed for this composition: 179.6 meV per atom

abc: 5.006 5.006 16.142
angles: 90.00 90.00 90.00
Space group I-42d (No. 122)
Unique sites:
La  0.000  0.000  0.000
V  0.000  0.000  0.500
Pt  0.089  0.250  0.625

=====

4.
DFT (PBE) results for a relaxed structure of LaV3Pt.

* Fermi-level density of states: 6.52 states/eV/f.u.
* size of the total moment: 0.00 μB per formula unit
* calculated volume: 18.2 A^3/atom
* formation energy from the elements: 1.511 eV per atom
* energy relative to the lowest polymorph listed for this composition: 948.4 meV per atom

abc: 4.495 4.495 4.495
angles: 90.00 90.00 90.00
Space group Pm-3m (No. 221)
Unique sites:
La  0.000  0.000  0.000
V  0.000  0.000  0.500
Pt  0.500  0.500  0.500

=====

5.
DFT (PBE) results for a relaxed structure of La2ZrVPt.

* Fermi-level density of states: 12.07 states/eV/f.u.
* size of the total moment: 0.21 μB per formula unit
* calculated volume: 31.3 A^3/atom
* formation energy from the elements: 1.010 eV per atom

abc: 5.665 5.665 4.880
angles: 90.00 90.00 90.00
Space group P4/mmm (No. 123)
Unique sites:
La  0.000  0.500  0.000
Zr  0.000  0.000  0.000
V  0.500  0.500  0.500
Pt  0.000  0.000  0.500

=====

6.
DFT (PBE) results for a relaxed structure of LaPt2W.

* Fermi-level density of states: 3.07 states/eV/f.u.
* size of the total moment: 0.00 μB per formula unit
* calculated volume: 23.2 A^3/atom
* formation energy from the elements: -0.357 eV per atom
* energy relative to the lowest polymorph listed for this composition: 122.8 meV per atom

abc: 7.755 4.475 5.933
angles: 90.00 115.76 90.00
Space group Cm (No. 8)
Unique sites:
La  0.000  0.000  0.000
Pt  0.197  0.000  0.595
Pt  0.473  0.000  0.423
W  0.311  0.500  0.435

=====

7.
DFT (PBE) results for a relaxed structure of La2PtW.

* Fermi-level density of states: 3.89 states/eV/f.u.
* size of the total moment: 0.00 μB per formula unit
* calculated volume: 27.4 A^3/atom
* formation energy from the elements: -0.120 eV per atom
* energy relative to the lowest polymorph listed for this composition: 0.0 meV per atom

abc: 4.437 4.682 10.538
angles: 90.00 90.00 90.00
Space group Amm2 (No. 38)
Unique sites:
La  0.000  0.000  0.000
La  0.500  0.000  0.303
Pt  0.000  0.000  0.709
W  0.500  0.000  0.599

=====

8.
DFT (PBE) results for a relaxed structure of LaPt2W.

* Fermi-level density of states: 3.11 states/eV/f.u.
* size of the total moment: 0.00 μB per formula unit
* calculated volume: 20.9 A^3/atom
* formation energy from the elements: -0.262 eV per atom
* energy relative to the lowest polymorph listed for this composition: 217.5 meV per atom

abc: 3.680 4.513 5.166
angles: 90.00 102.84 90.00
Space group Pm (No. 6)
Unique sites:
La  0.000  0.000  0.000
Pt  0.550  0.500  0.119
Pt  0.580  0.000  0.484
W  0.297  0.500  0.585

=====

9.
DFT (PBE) results for a relaxed structure of LaPt2W.

* Fermi-level density of states: 4.63 states/eV/f.u.
* size of the total moment: 0.00 μB per formula unit
* calculated volume: 19.4 A^3/atom
* formation energy from the elements: -0.065 eV per atom
* energy relative to the lowest polymorph listed for this composition: 414.7 meV per atom

abc: 2.936 4.973 10.623
angles: 90.00 90.00 90.00
Space group Imm2 (No. 44)
Unique sites:
La  0.000  0.000  0.000
Pt  0.000  0.000  0.515
Pt  0.000  0.500  0.777
W  0.000  0.500  0.230

=====

10.
DFT (PBE) results for a relaxed structure of LaPtW2.

* Fermi-level density of states: 4.07 states/eV/f.u.
* size of the total moment: 0.00 μB per formula unit
* calculated volume: 19.6 A^3/atom
* formation energy from the elements: 0.309 eV per atom
* energy relative to the lowest polymorph listed for this composition: 243.3 meV per atom

abc: 11.326 2.830 5.135
angles: 90.00 107.63 90.00
Space group C2/m (No. 12)
Unique sites:
La  0.000  0.000  0.000
Pt  0.000  0.500  0.500
W  0.220  0.000  0.718

=====

11.
DFT (PBE) results for a relaxed structure of LaPtW2.

* Fermi-level density of states: 4.22 states/eV/f.u.
* size of the total moment: 0.00 μB per formula unit
* calculated volume: 18.9 A^3/atom
* formation energy from the elements: 0.205 eV per atom
* energy relative to the lowest polymorph listed for this composition: 139.1 meV per atom

abc: 2.860 2.860 9.252
angles: 90.00 90.00 90.00
Space group P4mm (No. 99)
Unique sites:
La  0.000  0.000  0.000
Pt  0.500  0.500  0.281
W  0.000  0.000  0.478
W  0.500  0.500  0.711

=====

12.
DFT (PBE) results for a relaxed structure of LaPt2W.

* Fermi-level density of states: 5.06 states/eV/f.u.
* size of the total moment: 0.68 μB per formula unit
* calculated volume: 18.6 A^3/atom
* formation energy from the elements: 0.080 eV per atom
* energy relative to the lowest polymorph listed for this composition: 559.5 meV per atom

abc: 2.9364 2.9364 29.8873
angles: 90.00 90.00 120.00
Space group R-3m (No. 166, hexagonal axes)
Unique sites:
La  0.0000  0.0000  0.0000
Pt  0.0000  0.0000  0.2403
W  0.0000  0.0000  0.5000

=====

13.
DFT (PBE) results for a relaxed structure of La2PtW.

* Fermi-level density of states: 3.80 states/eV/f.u.
* size of the total moment: 1.72 μB per formula unit
* calculated volume: 24.7 A^3/atom
* formation energy from the elements: 0.327 eV per atom
* energy relative to the lowest polymorph listed for this composition: 446.2 meV per atom

abc: 7.979 7.979 6.217
angles: 90.00 90.00 90.00
Space group I-42d (No. 122)
Unique sites:
La  0.242  0.250  0.125
Pt  0.000  0.000  0.000
W  0.000  0.000  0.500

=====

14.
DFT (PBE) results for a relaxed structure of LaPt4W.

* Fermi-level density of states: 3.68 states/eV/f.u.
* size of the total moment: 2.81 μB per formula unit
* calculated volume: 18.6 A^3/atom
* formation energy from the elements: -0.209 eV per atom

abc: 7.644 7.644 7.644
angles: 90.00 90.00 90.00
Space group F-43m (No. 216)
Unique sites:
La  0.000  0.000  0.000
Pt  0.124  0.124  0.624
W  0.250  0.250  0.250

=====

15.
DFT (PBE) results for a relaxed structure of LaPt2W.

* Fermi-level density of states: 3.33 states/eV/f.u.
* size of the total moment: 0.00 μB per formula unit
* calculated volume: 18.8 A^3/atom
* formation energy from the elements: -0.177 eV per atom
* energy relative to the lowest polymorph listed for this composition: 302.5 meV per atom

abc: 6.249 8.155 2.949
angles: 90.00 90.00 90.00
Space group Cmmm (No. 65)
Unique sites:
La  0.000  0.000  0.000
Pt  0.250  0.250  0.500
W  0.000  0.500  0.000

=====

16.
DFT (PBE) results for a relaxed structure of LaPt2W.

* Fermi-level density of states: 3.29 states/eV/f.u.
* size of the total moment: 0.00 μB per formula unit
* calculated volume: 26.2 A^3/atom
* formation energy from the elements: 0.087 eV per atom
* energy relative to the lowest polymorph listed for this composition: 566.3 meV per atom

abc: 5.038 5.038 16.531
angles: 90.00 90.00 90.00
Space group I-42d (No. 122)
Unique sites:
La  0.000  0.000  0.000
Pt  0.102  0.250  0.625
W  0.000  0.000  0.500

=====

17.
DFT (PBE) results for a relaxed structure of LaPtW2.

* Fermi-level density of states: 4.18 states/eV/f.u.
* size of the total moment: 0.00 μB per formula unit
* calculated volume: 20.3 A^3/atom
* formation energy from the elements: 0.382 eV per atom
* energy relative to the lowest polymorph listed for this composition: 316.5 meV per atom

abc: 8.816 2.855 6.486
angles: 90.00 94.55 90.00
Space group Cm (No. 8)
Unique sites:
La  0.000  0.000  0.000
Pt  0.253  0.500  0.308
W  0.237  0.000  0.693
W  0.485  0.000  0.512

=====

18.
DFT (PBE) results for a relaxed structure of La2PtW.

* Fermi-level density of states: 5.95 states/eV/f.u.
* size of the total moment: 0.30 μB per formula unit
* calculated volume: 24.1 A^3/atom
* formation energy from the elements: 0.131 eV per atom
* energy relative to the lowest polymorph listed for this composition: 251.2 meV per atom

abc: 7.283 7.283 7.283
angles: 90.00 90.00 90.00
Space group Fm-3m (No. 225)
Unique sites:
La  0.250  0.250  0.250
Pt  0.000  0.000  0.000
W  0.000  0.000  0.500

=====

19.
DFT (PBE) results for a relaxed structure of La4PtW.

* Fermi-level density of states: 8.95 states/eV/f.u.
* size of the total moment: 0.96 μB per formula unit
* calculated volume: 27.1 A^3/atom
* formation energy from the elements: 0.896 eV per atom

abc: 8.662 8.662 8.662
angles: 90.00 90.00 90.00
Space group F-43m (No. 216)
Unique sites:
La  0.125  0.125  0.125
Pt  0.250  0.250  0.750
W  0.000  0.000  0.500

=====

20.
DFT (PBE) results for a relaxed structure of LaPtW2.

* Fermi-level density of states: 4.99 states/eV/f.u.
* size of the total moment: 0.00 μB per formula unit
* calculated volume: 21.0 A^3/atom
* formation energy from the elements: 0.458 eV per atom
* energy relative to the lowest polymorph listed for this composition: 392.1 meV per atom

abc: 3.447 3.447 7.060
angles: 90.00 90.00 90.00
Space group P4/mmm (No. 123)
Unique sites:
La  0.000  0.000  0.000
Pt  0.000  0.000  0.500
W  0.500  0.500  0.328

=====

21.
DFT (PBE) results for a relaxed structure of LaPtW2.

* Fermi-level density of states: 3.61 states/eV/f.u.
* size of the total moment: 0.00 μB per formula unit
* calculated volume: 18.7 A^3/atom
* formation energy from the elements: 0.441 eV per atom
* energy relative to the lowest polymorph listed for this composition: 374.6 meV per atom

abc: 2.9005 2.9005 30.8404
angles: 90.00 90.00 120.00
Space group R3m (No. 160, hexagonal axes)
Unique sites:
La  0.0000  0.0000  0.0000
Pt  0.0000  0.0000  0.7576
W  0.0000  0.0000  0.2390
W  0.0000  0.0000  0.4952

=====

22.
DFT (PBE) results for a relaxed structure of LaPtW2.

* Fermi-level density of states: 2.86 states/eV/f.u.
* size of the total moment: 0.00 μB per formula unit
* calculated volume: 19.2 A^3/atom
* formation energy from the elements: 0.363 eV per atom
* energy relative to the lowest polymorph listed for this composition: 297.3 meV per atom

abc: 4.765 4.765 6.755
angles: 90.00 90.00 90.00
Space group I-4m2 (No. 119)
Unique sites:
La  0.000  0.000  0.000
Pt  0.000  0.500  0.750
W  0.000  0.000  0.500
W  0.000  0.500  0.250

=====

23.
DFT (PBE) results for a relaxed structure of LaPt2W.

* Fermi-level density of states: 3.73 states/eV/f.u.
* size of the total moment: 0.00 μB per formula unit
* calculated volume: 18.9 A^3/atom
* formation energy from the elements: 0.114 eV per atom
* energy relative to the lowest polymorph listed for this composition: 593.5 meV per atom

abc: 5.174 2.912 5.404
angles: 90.00 111.81 90.00
Space group P2/m (No. 10)
Unique sites:
La  0.000  0.000  0.000
Pt  0.500  0.000  0.500
Pt  0.500  0.500  0.000
W  0.000  0.500  0.500

=====

24.
DFT (PBE) results for a relaxed structure of LaPt2W.

* Fermi-level density of states: 4.02 states/eV/f.u.
* size of the total moment: 0.69 μB per formula unit
* calculated volume: 19.2 A^3/atom
* formation energy from the elements: -0.167 eV per atom
* energy relative to the lowest polymorph listed for this composition: 312.5 meV per atom

abc: 5.125 5.125 2.921
angles: 90.00 90.00 90.00
Space group P4/mmm (No. 123)
Unique sites:
La  0.000  0.000  0.000
Pt  0.000  0.500  0.500
W  0.500  0.500  0.000

=====

25.
DFT (PBE) results for a relaxed structure of LaPtW2.

* Fermi-level density of states: 3.21 states/eV/f.u.
* size of the total moment: 0.00 μB per formula unit
* calculated volume: 19.9 A^3/atom
* formation energy from the elements: 0.541 eV per atom
* energy relative to the lowest polymorph listed for this composition: 475.4 meV per atom

abc: 4.032 4.032 9.812
angles: 90.00 90.00 90.00
Space group I4/mmm (No. 139)
Unique sites:
La  0.000  0.000  0.000
Pt  0.000  0.000  0.500
W  0.000  0.500  0.250

=====

26.
DFT (PBE) results for a relaxed structure of LaPtW2.

* Fermi-level density of states: 3.20 states/eV/f.u.
* size of the total moment: 0.00 μB per formula unit
* calculated volume: 19.7 A^3/atom
* formation energy from the elements: 0.455 eV per atom
* energy relative to the lowest polymorph listed for this composition: 388.9 meV per atom

abc: 2.918 5.302 5.098
angles: 90.00 93.99 90.00
Space group P2/m (No. 10)
Unique sites:
La  0.000  0.000  0.000
Pt  0.500  0.000  0.500
W  0.356  0.500  0.748

=====

27.
DFT (PBE) results for a relaxed structure of La2PtW.

* Fermi-level density of states: 6.36 states/eV/f.u.
* size of the total moment: 0.00 μB per formula unit
* calculated volume: 28.5 A^3/atom
* formation energy from the elements: -0.078 eV per atom
* energy relative to the lowest polymorph listed for this composition: 41.9 meV per atom

abc: 4.4187 4.4187 20.2517
angles: 90.00 90.00 120.00
Space group R3m (No. 160, hexagonal axes)
Unique sites:
La  0.0000  0.0000  0.0000
La  0.0000  0.0000  0.1951
Pt  0.0000  0.0000  0.7680
W  0.0000  0.0000  0.4248

=====

28.
DFT (PBE) results for a relaxed structure of LaPtW2.

* Fermi-level density of states: 13.39 states/eV/f.u.
* size of the total moment: 0.00 μB per formula unit
* calculated volume: 18.2 A^3/atom
* formation energy from the elements: 0.676 eV per atom
* energy relative to the lowest polymorph listed for this composition: 609.9 meV per atom

abc: 6.632 6.632 6.632
angles: 90.00 90.00 90.00
Space group Fm-3m (No. 225)
Unique sites:
La  0.000  0.000  0.000
Pt  0.000  0.000  0.500
W  0.250  0.250  0.250

=====

29.
DFT (PBE) results for a relaxed structure of LaPt3W.

* Fermi-level density of states: 2.67 states/eV/f.u.
* size of the total moment: 0.00 μB per formula unit
* calculated volume: 23.7 A^3/atom
* formation energy from the elements: -0.066 eV per atom
* energy relative to the lowest polymorph listed for this composition: 0.0 meV per atom

abc: 4.914 4.914 4.914
angles: 90.00 90.00 90.00
Space group Pm-3m (No. 221)
Unique sites:
La  0.000  0.000  0.000
Pt  0.000  0.500  0.500
W  0.500  0.500  0.500